[1]
# ScCo4Ag PBEsol relaxed
# **ΔH_f (0 K)**: -0.105 eV/atom
# **Space group**: F-43m, No. 216
# **Density of states at the Fermi level**: 1.125 states/eV per atom
data_ScCo4Ag
_chemical_formula_sum 'Sc1 Co4 Ag1'
_cell_length_a 4.770
_cell_length_b 4.770
_cell_length_c 4.770
_cell_angle_alpha 60.00
_cell_angle_beta 60.00
_cell_angle_gamma 60.00
_symmetry_space_group_name_H-M 'P 1'
_symmetry_Int_Tables_number 1
loop_
_symmetry_equiv_pos_as_xyz
'x,y,z'
loop_
_atom_site_label
_atom_site_type_symbol
_atom_site_fract_x
_atom_site_fract_y
_atom_site_fract_z
Co1 Co 0.625 0.625 0.625
Co2 Co 0.625 0.625 0.124
Co3 Co 0.625 0.124 0.625
Co4 Co 0.124 0.625 0.625
Sc1 Sc 0.250 0.250 0.250
Ag1 Ag 0.000 0.000 0.000


[2]
# Sb2AsHI PBEsol relaxed
# **Raw total energy**: -16.4 eV for the cell shown
# **Space group**: P4/mmm, No. 123
# **Density of states at the Fermi level**: 0.655 states/eV per atom
data_Sb2AsHI
_chemical_formula_sum 'Sb2 As1 H1 I1'
_cell_length_a 4.413
_cell_length_b 4.413
_cell_length_c 5.546
_cell_angle_alpha 90.00
_cell_angle_beta 90.00
_cell_angle_gamma 90.00
_symmetry_space_group_name_H-M 'P 1'
_symmetry_Int_Tables_number 1
loop_
_symmetry_equiv_pos_as_xyz
'x,y,z'
loop_
_atom_site_label
_atom_site_type_symbol
_atom_site_fract_x
_atom_site_fract_y
_atom_site_fract_z
As1 As 0.500 0.500 0.500
H1 H 0.000 0.000 0.000
Sb1 Sb 0.000 0.500 0.000
Sb2 Sb 0.500 0.000 0.000
I1 I 0.000 0.000 0.500